(1)
DFT (PBE) results for a geometry-optimized Rb2TlHgSb structure.

Computed properties:
Its volume is 304.5 Å³/cell. Its formation energy (no corrections) is -0.10 eV per atom. The value obtained for the density of states at the Fermi level is 2.6 states/eV/cell.

Lattice parameters (Å, degrees): 7.1089 7.1089 6.0260 90.00 90.00 90.00
Closest atoms and distances in Å follow each position.
Space group P4/mmm (No. 123)
Unique sites:
Rb (0.0000, 0.5000, 0.0000) x2  2 Sb 3.55
Tl (0.0000, 0.0000, 0.5000) x1  2 Sb 3.01
Hg (0.5000, 0.5000, 0.5000) x1  8 Rb 4.66, 4 Tl 5.03
Sb (0.0000, 0.0000, 0.0000) x1  2 Tl 3.01

(2)
DFT (PBE) results for a geometry-optimized Nd12TmIn4O3 structure.

Computed properties:
Its volume is 1104.6 Å³/cell. Its formation energy (no corrections) is -0.80 eV per atom. The value obtained for the density of states at the Fermi level is 32.6 states/eV/cell.

Lattice parameters (Å, degrees): 10.3372 10.3372 10.3372 90.00 90.00 90.00
Closest atoms and distances in Å follow each position.
Space group Im-3m (No. 229)
Unique sites:
Nd (0.0000, 0.0000, 0.2743) x12  1 O 2.33
Nd (0.0000, 0.2500, 0.5000) x12  2 O 2.58
Tm (0.0000, 0.0000, 0.0000) x2  6 Nd 2.84
In (0.2500, 0.2500, 0.2500) x8  12 Nd 3.65-3.66
O (0.0000, 0.0000, 0.5000) x6  6 Nd 2.33-2.58

(3)
DFT (PBE) results for a geometry-optimized LiYOs2 structure.

Computed properties:
Its volume is 312.0 Å³/cell. The value obtained for the density of states at the Fermi level is 5.6 states/eV/cell. As for the formation energy: 0.447 eV/atom.

Lattice parameters (Å, degrees): 4.1176 4.1176 18.4036 90.00 90.00 90.00
Closest atoms and distances in Å follow each position.
Space group I-42d (No. 122)
Unique sites:
Li (0.0000, 0.0000, 0.0000) x4  4 Os 2.59
Y (0.0000, 0.0000, 0.5000) x4  4 Os 2.91, 4 Li 2.91
Os (0.1472, 0.7500, 0.1250) x8  2 Os 2.39, 2 Li 2.59